No. 1
Below is a relaxed structure of BeGa2GeB, with properties calculated at the PBE level.

## Properties
Fermi-level density of states: 1.95 states/eV/cell
crystal system: tetragonal
ΔE_f: 0.64 eV/atom

Unit cell a=4.749 b=4.749 c=3.504 alpha=90.00 beta=90.00 gamma=90.00
Space group P4/mmm (No. 123)
Inequivalent atoms, fractional coordinates:
Be  0.000  0.000  0.000
Ga  0.000  0.500  0.000
Ge  0.500  0.500  0.500
B  0.000  0.000  0.500

No. 2
Below is a relaxed structure of HfBe2GaB, with properties calculated at the PBE level.

## Properties
Fermi-level density of states: 2.09 states/eV/cell
crystal system: tetragonal
ΔE_f: 0.35 eV/atom

Unit cell a=3.771 b=3.771 c=4.563 alpha=90.00 beta=90.00 gamma=90.00
Space group P4/mmm (No. 123)
Inequivalent atoms, fractional coordinates:
Hf  0.000  0.000  0.000
Be  0.000  0.500  0.500
Ga  0.500  0.500  0.000
B  0.500  0.500  0.500

No. 3
Below is a relaxed structure of KBeGaB2, with properties calculated at the PBE level.

## Properties
Fermi-level density of states: 1.93 states/eV/cell
crystal system: tetragonal
ΔE_f: 1.80 eV/atom

Unit cell a=4.198 b=4.198 c=6.110 alpha=90.00 beta=90.00 gamma=90.00
Space group P4/mmm (No. 123)
Inequivalent atoms, fractional coordinates:
K  0.000  0.000  0.000
Be  0.500  0.500  0.000
Ga  0.000  0.000  0.500
B  0.000  0.500  0.500

No. 4
Below is a relaxed structure of Be2GaBN, with properties calculated at the PBE level.

## Properties
Fermi-level density of states: 1.09 states/eV/cell
crystal system: tetragonal
formation energy (no corrections): 0.27 eV per atom

Unit cell a=3.237 b=3.237 c=4.849 alpha=90.00 beta=90.00 gamma=90.00
Space group P4/mmm (No. 123)
Inequivalent atoms, fractional coordinates:
Be  0.000  0.500  0.000
Ga  0.000  0.000  0.500
B  0.500  0.500  0.500
N  0.000  0.000  0.000

No. 5
Below is a relaxed structure of BeGaBS2, with properties calculated at the PBE level.

## Properties
Fermi-level density of states: 2.33 states/eV/cell
crystal system: tetragonal
formation energy (no corrections): 1.43 eV per atom

Unit cell a=4.811 b=4.811 c=4.268 alpha=90.00 beta=90.00 gamma=90.00
Space group P4/mmm (No. 123)
Inequivalent atoms, fractional coordinates:
Be  0.000  0.000  0.000
Ga  0.000  0.000  0.500
B  0.500  0.500  0.000
S  0.000  0.500  0.500

No. 6
Below is a relaxed structure of Be2GaBSe, with properties calculated at the PBE level.

## Properties
Fermi-level density of states: 1.07 states/eV/cell
crystal system: tetragonal
formation energy (no corrections): 0.27 eV per atom

Unit cell a=3.808 b=3.808 c=4.643 alpha=90.00 beta=90.00 gamma=90.00
Space group P4/mmm (No. 123)
Inequivalent atoms, fractional coordinates:
Be  0.000  0.500  0.000
Ga  0.000  0.000  0.500
B  0.000  0.000  0.000
Se  0.500  0.500  0.500

No. 7
Below is a relaxed structure of YBeGaB2, with properties calculated at the PBE level.

## Properties
Fermi-level density of states: 4.96 states/eV/cell
crystal system: tetragonal
ΔE_f: 2.03 eV/atom

Unit cell a=4.693 b=4.693 c=5.279 alpha=90.00 beta=90.00 gamma=90.00
Space group P4/mmm (No. 123)
Inequivalent atoms, fractional coordinates:
Y  0.000  0.000  0.000
Be  0.000  0.000  0.500
Ga  0.500  0.500  0.500
B  0.000  0.500  0.000

No. 8
Below is a relaxed structure of GdBe2B5O11, with properties calculated at the PBE level.

## Properties
Fermi-level density of states: 0.00 states/eV/cell
crystal system: orthorhombic
formation energy (no corrections): -2.68 eV per atom

Unit cell a=26.016 b=4.381 c=6.773 alpha=90.00 beta=90.00 gamma=90.00
Space group Pna2_1 (No. 33)
Inequivalent atoms, fractional coordinates:
Gd  0.080  0.137  0.000
Be  0.208  0.354  0.866
Be  0.210  0.851  0.090
B  0.003  0.459  0.588
B  0.057  0.970  0.569
B  0.130  0.858  0.344
B  0.131  0.632  0.672
B  0.249  0.840  0.726
O  0.010  0.774  0.558
O  0.043  0.273  0.648
O  0.046  0.632  0.056
O  0.083  0.002  0.378
O  0.093  0.843  0.718
O  0.148  0.433  0.812
O  0.151  0.657  0.480
O  0.151  0.923  0.165
O  0.218  0.990  0.863
O  0.222  0.490  0.090
O  0.249  0.526  0.725

No. 9
Below is a relaxed structure of Be3GeB, with properties calculated at the PBE level.

## Properties
excess energy over the best structure of this formula in the dataset: 1143 meV per atom
Fermi-level density of states: 3.09 states/eV/cell
crystal system: cubic
ΔE_f: 1.60 eV/atom

Unit cell a=4.184 b=4.184 c=4.184 alpha=90.00 beta=90.00 gamma=90.00
Space group Pm-3m (No. 221)
Inequivalent atoms, fractional coordinates:
Be  0.000  0.000  0.500
Ge  0.000  0.000  0.000
B  0.500  0.500  0.500

No. 10
Below is a relaxed structure of BeGeB2, with properties calculated at the PBE level.

## Properties
excess energy over the best structure of this formula in the dataset: 240 meV per atom
Fermi-level density of states: 6.17 states/eV/cell
crystal system: cubic
ΔE_f: 1.34 eV/atom

Unit cell a=5.435 b=5.435 c=5.435 alpha=90.00 beta=90.00 gamma=90.00
Space group Fm-3m (No. 225)
Inequivalent atoms, fractional coordinates:
Be  0.000  0.000  0.000
Ge  0.000  0.000  0.500
B  0.250  0.250  0.250

No. 11
Below is a relaxed structure of Be3GeB, with properties calculated at the PBE level.

## Properties
excess energy over the best structure of this formula in the dataset: 0 meV per atom
Fermi-level density of states: 1.73 states/eV/cell
crystal system: cubic
ΔE_f: 0.45 eV/atom

Unit cell a=3.769 b=3.769 c=3.769 alpha=90.00 beta=90.00 gamma=90.00
Space group Pm-3m (No. 221)
Inequivalent atoms, fractional coordinates:
Be  0.000  0.000  0.500
Ge  0.500  0.500  0.500
B  0.000  0.000  0.000

No. 12
Below is a relaxed structure of Be2GeB, with properties calculated at the PBE level.

## Properties
excess energy over the best structure of this formula in the dataset: 493 meV per atom
Fermi-level density of states: 8.09 states/eV/cell
crystal system: cubic
ΔE_f: 0.95 eV/atom

Unit cell a=5.508 b=5.508 c=5.508 alpha=90.00 beta=90.00 gamma=90.00
Space group Fm-3m (No. 225)
Inequivalent atoms, fractional coordinates:
Be  0.250  0.250  0.250
Ge  0.000  0.000  0.000
B  0.000  0.000  0.500